A geometry-optimized ThPdF structure, computed with GGA-PBE.

Cell: 7.8369 5.4373 5.4373 Å, 92.08 83.91 83.91°
Closest atoms and distances in Å follow each position.
Fractional coordinates of all 12 atoms:
Th1 0.7702 0.0363 0.7863  4 F 2.60-2.64
Pd1 0.3824 0.4374 0.1874  2 Pd 2.75, 4 Th 2.95-2.97
Pd2 0.3824 0.9374 0.6874  2 Pd 2.75, 4 Th 2.95-2.97
F1 0.0014 0.2497 0.9997  4 Th 2.60-2.64, 4 F 2.72
F2 0.0014 0.7497 0.4997  4 Th 2.60-2.64, 4 F 2.72
Pd3 0.6176 0.0626 0.3126  2 Pd 2.75, 4 Th 2.95-2.97
F3 0.9986 0.7503 0.0003  4 Th 2.60-2.64, 4 F 2.72
Pd4 0.6176 0.5626 0.8126  2 Pd 2.75, 4 Th 2.95-2.97
Th2 0.2298 0.9637 0.2137  4 F 2.60-2.64
F4 0.9986 0.2503 0.5003  4 Th 2.60-2.64, 4 F 2.72
Th3 0.7702 0.5363 0.2863  4 F 2.60-2.64
Th4 0.2298 0.4637 0.7137  4 F 2.60-2.64

## Properties
Space-group type ... P2_1/m (11)
Formation energy (no corrections) ... -2.041 eV/atom